No. 1
A plane-wave DFT calculation with GGA-PBE was carried out for a relaxed structure of Li6CuAu10.

Computed properties:
As for the energy of formation: -35 kJ per mole of atoms. As for the crystal system: trigonal. The calculation puts the calculated density at 12.493 Mg/m³. Its total magnetic moment is 0.0000 μB/atom. Its total energy is -3.207 eV per atom.

```
data_Li6CuAu10
_space_group_name_H-M_alt 'P -3 1 m'
_space_group_IT_number 162
_space_group_name_Hall '-P 3 2'
_cell_length_a 7.6400
_cell_length_b 7.6400
_cell_length_c 5.4555
_cell_angle_alpha 90.00
_cell_angle_beta 90.00
_cell_angle_gamma 120.00
loop_
_atom_site_label
_atom_site_type_symbol
_atom_site_fract_x
_atom_site_fract_y
_atom_site_fract_z
Li1 Li 0.0000 0.3759 0.2936
Cu1 Cu 0.0000 0.0000 0.5000
Au1 Au 0.0000 0.2740 0.8023
Au2 Au 0.3333 0.6667 0.0000
Au3 Au 0.3333 0.6667 0.5000
```

=====

No. 2
A plane-wave DFT calculation with GGA-PBE was carried out for a relaxed structure of DyEr2Ag.

Computed properties:
As for the energy of formation: -7 kJ per mole of atoms. As for the crystal system: orthorhombic. The calculation puts the calculated density at 8.863 Mg/m³. Its total magnetic moment is 0.0001 μB/atom. The value obtained for the energy above the most stable polymorph in this dataset is 61 meV per atom. Its total energy is -4.220 eV per atom.

```
data_DyEr2Ag
_space_group_name_H-M_alt 'C m c m'
_space_group_IT_number 63
_space_group_name_Hall '-C 2c 2'
_cell_length_a 4.7969
_cell_length_b 11.3468
_cell_length_c 8.3283
_cell_angle_alpha 90.00
_cell_angle_beta 90.00
_cell_angle_gamma 90.00
loop_
_atom_site_label
_atom_site_type_symbol
_atom_site_fract_x
_atom_site_fract_y
_atom_site_fract_z
Dy1 Dy 0.0000 0.0520 0.2500
Er1 Er 0.0000 0.3563 0.0460
Ag1 Ag 0.0000 0.2226 0.7500
```

=====

No. 3
A plane-wave DFT calculation with GGA-PBE was carried out for a relaxed structure of Li2PmSbO.

Computed properties:
For the uncorrected formation energy, the calculation gives -7.9 eV/f.u. As for the crystal system: tetragonal. The calculation puts the calculated density at 5.326 Mg/m³. Its total magnetic moment is 0.0000 μB/atom. Its total energy is -5.110 eV per atom.

```
data_Li2PmSbO
_space_group_name_H-M_alt 'I 4/m c m'
_space_group_IT_number 140
_space_group_name_Hall '-I 4 2c'
_cell_length_a 6.2658
_cell_length_b 6.2658
_cell_length_c 9.4235
_cell_angle_alpha 90.00
_cell_angle_beta 90.00
_cell_angle_gamma 90.00
loop_
_atom_site_label
_atom_site_type_symbol
_atom_site_fract_x
_atom_site_fract_y
_atom_site_fract_z
Li1 Li 0.2482 0.2518 0.0000
Pm1 Pm 0.0000 0.0000 0.2500
Sb1 Sb 0.0000 0.5000 0.2500
O1 O 0.0000 0.0000 0.0000
```

=====

No. 4
A plane-wave DFT calculation with GGA-PBE was carried out for a relaxed structure of TcNi4Sb.

Computed properties:
For the uncorrected formation energy, the calculation gives 0.9 eV/f.u. As for the crystal system: cubic. The calculation puts the calculated density at 9.632 Mg/m³. Its total magnetic moment is 0.5741 μB/atom. Its total energy is -6.122 eV per atom.

```
data_TcNi4Sb
_space_group_name_H-M_alt 'F -4 3 m'
_space_group_IT_number 216
_space_group_name_Hall 'F -4 2 3'
_cell_length_a 6.7929
_cell_length_b 6.7929
_cell_length_c 6.7929
_cell_angle_alpha 90.00
_cell_angle_beta 90.00
_cell_angle_gamma 90.00
loop_
_atom_site_label
_atom_site_type_symbol
_atom_site_fract_x
_atom_site_fract_y
_atom_site_fract_z
Tc1 Tc 0.0000 0.0000 0.0000
Ni1 Ni 0.1258 0.1258 0.6258
Sb1 Sb 0.2500 0.2500 0.2500
```

=====

No. 5
A plane-wave DFT calculation with GGA-PBE was carried out for a relaxed structure of AlCrSb2.

Computed properties:
For the uncorrected formation energy, the calculation gives 0.5 eV/f.u. As for the crystal system: monoclinic. The calculation puts the calculated density at 6.520 Mg/m³. Its total magnetic moment is 0.6050 μB/atom. Its total energy is -5.273 eV per atom.

```
data_AlCrSb2
_space_group_name_H-M_alt 'P 1 m 1'
_space_group_IT_number 6
_space_group_name_Hall 'P -2y'
_cell_length_a 3.8610
_cell_length_b 4.0826
_cell_length_c 5.5506
_cell_angle_alpha 90.00
_cell_angle_beta 110.15
_cell_angle_gamma 90.00
loop_
_atom_site_label
_atom_site_type_symbol
_atom_site_fract_x
_atom_site_fract_y
_atom_site_fract_z
Al1 Al 0.0000 0.0000 0.0000
Cr1 Cr 0.1604 0.5000 0.3200
Sb1 Sb 0.4442 0.5000 0.8878
Sb2 Sb 0.7318 0.0000 0.4651
```

=====

No. 6
A plane-wave DFT calculation with GGA-PBE was carried out for a relaxed structure of LiTiAg2.

Computed properties:
As for the energy of formation: 5 kJ per mole of atoms. As for the crystal system: cubic. The calculation puts the calculated density at 6.740 Mg/m³. Its total magnetic moment is 0.0000 μB/atom. The value obtained for the energy above the most stable polymorph in this dataset is 72 meV per atom. Its total energy is -3.830 eV per atom.

```
data_LiTiAg2
_space_group_name_H-M_alt 'F m -3 m'
_space_group_IT_number 225
_space_group_name_Hall '-F 4 2 3'
_cell_length_a 6.4363
_cell_length_b 6.4363
_cell_length_c 6.4363
_cell_angle_alpha 90.00
_cell_angle_beta 90.00
_cell_angle_gamma 90.00
loop_
_atom_site_label
_atom_site_type_symbol
_atom_site_fract_x
_atom_site_fract_y
_atom_site_fract_z
Li1 Li 0.0000 0.0000 0.0000
Ti1 Ti 0.0000 0.0000 0.5000
Ag1 Ag 0.2500 0.2500 0.2500
```

=====

No. 7
A plane-wave DFT calculation with GGA-PBE was carried out for a relaxed structure of K2Ce2PuS6.

Computed properties:
For the uncorrected formation energy, the calculation gives -19.1 eV/f.u. As for the crystal system: monoclinic. The calculation puts the calculated density at 3.995 Mg/m³. Its total magnetic moment is 0.5460 μB/atom. Its total energy is -6.572 eV per atom.

```
data_K2Ce2PuS6
_space_group_name_H-M_alt 'C 1 2/m 1'
_space_group_IT_number 12
_space_group_name_Hall '-C 2y'
_cell_length_a 7.1663
_cell_length_b 12.3840
_cell_length_c 7.8126
_cell_angle_alpha 90.00
_cell_angle_beta 107.66
_cell_angle_gamma 90.00
loop_
_atom_site_label
_atom_site_type_symbol
_atom_site_fract_x
_atom_site_fract_y
_atom_site_fract_z
K1 K 0.0000 0.1673 0.0000
Ce1 Ce 0.0000 0.3344 0.5000
Pu1 Pu 0.0000 0.0000 0.5000
S1 S 0.2283 0.1676 0.6941
S2 S 0.2373 0.5000 0.6948
```

=====

No. 8
A plane-wave DFT calculation with GGA-PBE was carried out for a relaxed structure of CsBa2Al.

Computed properties:
As for the energy of formation: 1 kJ per mole of atoms. As for the crystal system: tetragonal. The calculation puts the calculated density at 3.204 Mg/m³. Its total magnetic moment is 0.0421 μB/atom. Its total energy is -2.099 eV per atom.

```
data_CsBa2Al
_space_group_name_H-M_alt 'P 4/m m m'
_space_group_IT_number 123
_space_group_name_Hall '-P 4 2'
_cell_length_a 4.3152
_cell_length_b 4.3152
_cell_length_c 12.0945
_cell_angle_alpha 90.00
_cell_angle_beta 90.00
_cell_angle_gamma 90.00
loop_
_atom_site_label
_atom_site_type_symbol
_atom_site_fract_x
_atom_site_fract_y
_atom_site_fract_z
Cs1 Cs 0.0000 0.0000 0.0000
Ba1 Ba 0.5000 0.5000 0.3434
Al1 Al 0.0000 0.0000 0.5000
```